1.
Entry from Alexandria via LeMat-Bulk: crystalline LiRe2Ir at its relaxed geometry (GGA-PBE).

Cell and atoms, written as extended XYZ:
```
4
Lattice="0.000 3.039 3.039 3.039 0.000 3.039 3.039 3.039 0.000" Properties=species:S:1:pos:R:3 pbc="T T T"
Li 0.000 0.000 0.000
Re 1.520 1.520 1.520
Re 4.559 4.559 4.559
Ir 3.039 3.039 3.039
```

Computed properties:
The energy of formation comes out at 1.71 eV/f.u. The calculated total energy is -0.6241 Ry per atom.

---

2.
Entry from Alexandria via LeMat-Bulk: crystalline ZnBIr2 at its relaxed geometry (GGA-PBE).

Cell and atoms, written as extended XYZ:
```
8
Lattice="-3.292 3.292 2.474 3.292 -3.292 2.474 3.292 3.292 -2.474" Properties=species:S:1:pos:R:3 pbc="T T T"
Zn 0.000 0.000 0.000
Zn 0.000 3.292 1.237
B 3.292 0.000 1.237
B 0.000 0.000 2.474
Ir 1.646 -1.076 1.856
Ir 2.217 1.646 0.619
Ir 1.646 4.368 -0.619
Ir 1.076 1.646 3.093
```

Computed properties:
The energy of formation comes out at -0.14 eV/f.u. The calculation puts the energy above the most stable polymorph in this dataset at 229.0 meV/atom. The calculated total energy is -0.4742 Ry per atom.

---

3.
Entry from Alexandria via LeMat-Bulk: crystalline SiAsRh at its relaxed geometry (GGA-PBE).

Cell and atoms, written as extended XYZ:
```
3
Lattice="0.000 2.934 2.934 2.934 0.000 2.934 2.934 2.934 0.000" Properties=species:S:1:pos:R:3 pbc="T T T"
Si 0.000 0.000 0.000
As 4.401 4.401 4.401
Rh 1.467 1.467 1.467
```

Computed properties:
The value obtained for the uncorrected formation energy is 8 meV/atom. The calculation puts the energy above the most stable polymorph in this dataset at 476.4 meV/atom. The calculated total energy is -0.4263 Ry per atom.

---

4.
Entry from Alexandria via LeMat-Bulk: crystalline LiPr3Si6Pt2 at its relaxed geometry (GGA-PBE).

Cell and atoms, written as extended XYZ:
```
12
Lattice="5.941 0.000 0.000 -2.970 5.145 0.000 0.000 0.000 8.121" Properties=species:S:1:pos:R:3 pbc="T T T"
Li 0.000 0.000 0.000
Pr 0.000 0.000 4.060
Pr 0.000 3.430 1.118
Pr 2.970 1.715 7.002
Si 0.000 2.028 6.408
Si -1.214 4.131 6.408
Si 1.756 1.014 1.712
Si 1.214 4.131 6.408
Si 4.185 1.014 1.712
Si 2.970 3.117 1.712
Pt 0.000 3.430 4.375
Pt 2.970 1.715 3.745
```

Computed properties:
The value obtained for the uncorrected formation energy is -446 meV/atom. The calculated total energy is -0.4056 Ry per atom.

---

5.
Entry from Alexandria via LeMat-Bulk: crystalline BaYHfAu2 at its relaxed geometry (GGA-PBE).

Cell and atoms, written as extended XYZ:
```
5
Lattice="5.572 0.000 0.000 0.000 5.572 0.000 0.000 0.000 5.585" Properties=species:S:1:pos:R:3 pbc="T T T"
Ba 0.000 0.000 0.000
Y 2.786 2.786 2.792
Hf 0.000 0.000 2.792
Au 0.000 2.786 0.000
Au 2.786 0.000 0.000
```

Computed properties:
The energy of formation comes out at 5.63 eV/f.u. The calculated total energy is -0.2832 Ry per atom.

---

6.
Entry from Alexandria via LeMat-Bulk: crystalline Sc2TcSnH at its relaxed geometry (GGA-PBE).

Cell and atoms, written as extended XYZ:
```
5
Lattice="4.549 0.000 0.000 0.000 4.549 0.000 0.000 0.000 3.810" Properties=species:S:1:pos:R:3 pbc="T T T"
Sc 0.000 2.274 0.000
Sc 2.274 0.000 0.000
Tc 0.000 0.000 1.905
Sn 2.274 2.274 1.905
H 0.000 0.000 0.000
```

Computed properties:
The calculated total energy is -0.4813 Ry per atom.

---

7.
Entry from Alexandria via LeMat-Bulk: crystalline La4PmY15 at its relaxed geometry (GGA-PBE).

Cell and atoms, written as extended XYZ:
```
20
Lattice="5.126 0.000 0.000 0.000 5.126 0.000 0.000 0.000 25.414" Properties=species:S:1:pos:R:3 pbc="T T T"
La 0.000 0.000 2.551
La 0.000 0.000 7.635
La 0.000 0.000 17.779
La 0.000 0.000 22.863
Pm 0.000 0.000 12.707
Y 0.000 2.563 0.000
Y 0.000 2.563 5.101
Y 0.000 2.563 10.206
Y 0.000 2.563 15.207
Y 0.000 2.563 20.313
Y 2.563 0.000 0.000
Y 2.563 0.000 5.101
Y 2.563 0.000 10.206
Y 2.563 0.000 15.207
Y 2.563 0.000 20.313
Y 2.563 2.563 2.549
Y 2.563 2.563 7.655
Y 2.563 2.563 12.707
Y 2.563 2.563 17.759
Y 2.563 2.563 22.864
```

Computed properties:
The energy of formation comes out at 0.58 eV/f.u. The calculated total energy is -0.4441 Ry per atom.

---

8.
Entry from Alexandria via LeMat-Bulk: crystalline Pu3NpS6 at its relaxed geometry (GGA-PBE).

Cell and atoms, written as extended XYZ:
```
20
Lattice="10.884 0.000 0.000 0.000 3.966 0.000 -3.413 0.000 10.832" Properties=species:S:1:pos:R:3 pbc="T T T"
Pu 0.216 0.992 1.790
Pu 0.231 2.975 5.432
Pu 0.577 0.992 9.943
Pu 6.893 2.975 0.888
Pu 7.239 0.992 5.400
Pu 7.254 2.975 9.041
Np 3.876 0.992 3.356
Np 3.594 2.975 7.475
S -1.124 0.992 4.168
S -2.127 0.992 10.123
S 1.755 2.975 2.995
S 0.847 2.975 8.152
S 2.381 0.992 5.860
S 4.183 2.975 1.056
S 3.287 0.992 9.776
S 5.089 2.975 4.972
S 6.623 0.992 2.679
S 5.715 0.992 7.837
S 9.597 2.975 0.709
S 8.594 2.975 6.664
```

Computed properties:
The value obtained for the uncorrected formation energy is -1568 meV/atom. The calculated total energy is -0.7084 Ry per atom.

---

9.
Entry from Alexandria via LeMat-Bulk: crystalline HfW3Au at its relaxed geometry (GGA-PBE).

Cell and atoms, written as extended XYZ:
```
5
Lattice="4.773 0.000 0.000 0.000 4.773 0.000 0.000 0.000 4.773" Properties=species:S:1:pos:R:3 pbc="T T T"
Hf 0.000 0.000 0.000
W 0.000 0.000 2.387
W 0.000 2.387 0.000
W 2.387 0.000 0.000
Au 2.387 2.387 2.387
```

Computed properties:
The energy of formation comes out at 12.38 eV/f.u. The calculation puts the energy above the most stable polymorph in this dataset at 148.6 meV/atom. The calculated total energy is -0.5838 Ry per atom.

---

10.
Entry from Alexandria via LeMat-Bulk: crystalline LiLa2NiTe at its relaxed geometry (GGA-PBE).

Cell and atoms, written as extended XYZ:
```
5
Lattice="5.321 0.000 0.000 0.000 5.321 0.000 0.000 0.000 4.745" Properties=species:S:1:pos:R:3 pbc="T T T"
Li 0.000 0.000 0.000
La 0.000 2.660 2.373
La 2.660 0.000 2.373
Ni 0.000 0.000 2.373
Te 2.660 2.660 0.000
```

Computed properties:
The value obtained for the uncorrected formation energy is -596 meV/atom. The calculated total energy is -0.3480 Ry per atom.

---

11.
Entry from Alexandria via LeMat-Bulk: crystalline LaDyYSc at its relaxed geometry (GGA-PBE).

Cell and atoms, written as extended XYZ:
```
4
Lattice="0.000 3.976 3.976 3.976 0.000 3.976 3.976 3.976 0.000" Properties=species:S:1:pos:R:3 pbc="T T T"
La 0.000 0.000 0.000
Dy 3.976 3.976 3.976
Y 1.988 1.988 1.988
Sc 5.965 5.965 5.965
```

Computed properties:
The energy of formation comes out at 0.41 eV/f.u. The calculation puts the energy above the most stable polymorph in this dataset at 53.2 meV/atom. The calculated total energy is -0.4026 Ry per atom.

---

12.
Entry from Alexandria via LeMat-Bulk: crystalline PdPbAu at its relaxed geometry (GGA-PBE).

Cell and atoms, written as extended XYZ:
```
6
Lattice="1.839 -5.661 0.000 1.839 5.661 0.000 0.000 0.000 6.067" Properties=species:S:1:pos:R:3 pbc="T T T"
Pd 0.000 0.000 0.000
Pd 0.000 0.000 3.033
Pb 1.839 1.806 4.550
Pb 1.839 -1.806 1.517
Au 1.839 1.498 1.517
Au 1.839 -1.498 4.550
```

Computed properties:
The energy of formation comes out at -0.38 eV/f.u. The calculation puts the energy above the most stable polymorph in this dataset at 35.1 meV/atom. The calculated total energy is -0.3077 Ry per atom.

---

13.
Entry from Alexandria via LeMat-Bulk: crystalline Pm8GaSn6 at its relaxed geometry (GGA-PBE).

Cell and atoms, written as extended XYZ:
```
15
Lattice="4.688 2.706 6.364 -4.688 2.706 6.364 0.000 -5.413 6.364" Properties=species:S:1:pos:R:3 pbc="T T T"
Pm -2.529 0.062 7.713
Pm 0.000 0.000 3.207
Pm -1.318 -2.159 11.378
Pm 1.211 -2.221 7.713
Pm -1.211 2.221 11.378
Pm 1.318 2.159 7.713
Pm 0.000 0.000 15.884
Pm 2.529 -0.062 11.378
Ga 0.000 0.000 9.545
Sn -1.776 -3.014 8.167
Sn -3.498 0.031 10.924
Sn -1.723 3.045 8.167
Sn 1.723 -3.045 10.924
Sn 3.498 -0.031 8.167
Sn 1.776 3.014 10.924
```

Computed properties:
The energy of formation comes out at -8.74 eV/f.u. The calculated total energy is -0.3616 Ry per atom.

---

14.
Entry from Alexandria via LeMat-Bulk: crystalline Cs2RbHgBi at its relaxed geometry (GGA-PBE).

Cell and atoms, written as extended XYZ:
```
5
Lattice="7.637 0.000 0.000 0.000 7.637 0.000 0.000 0.000 7.256" Properties=species:S:1:pos:R:3 pbc="T T T"
Cs 0.000 3.819 0.000
Cs 3.819 0.000 0.000
Rb 0.000 0.000 3.628
Hg 3.819 3.819 3.628
Bi 0.000 0.000 0.000
```

Computed properties:
The energy of formation comes out at -0.80 eV/f.u. The calculation puts the energy above the most stable polymorph in this dataset at 0.0 meV/atom. The calculated total energy is -0.1126 Ry per atom.

---

15.
Entry from Alexandria via LeMat-Bulk: crystalline HoNp6S8 at its relaxed geometry (GGA-PBE).

Cell and atoms, written as extended XYZ:
```
15
Lattice="0.000 5.524 5.524 5.524 0.000 5.524 5.524 5.524 0.000" Properties=species:S:1:pos:R:3 pbc="T T T"
Ho 0.000 0.000 0.000
Np 2.762 2.762 0.000
Np 2.762 0.000 2.762
Np 5.524 2.762 2.762
Np 0.000 2.762 2.762
Np 2.762 5.524 2.762
Np 2.762 2.762 5.524
S 5.524 5.524 2.752
S 5.524 2.752 5.524
S 8.296 5.524 5.524
S 2.762 2.762 2.762
S 8.286 8.286 8.286
S 2.752 5.524 5.524
S 5.524 8.296 5.524
S 5.524 5.524 8.296
```

Computed properties:
The value obtained for the uncorrected formation energy is -1479 meV/atom. The calculated total energy is -0.6734 Ry per atom.

---

16.
Entry from Alexandria via LeMat-Bulk: crystalline V12GaGe3 at its relaxed geometry (GGA-PBE).

Cell and atoms, written as extended XYZ:
```
16
Lattice="4.770 0.000 0.000 0.000 4.776 0.000 0.000 0.000 9.501" Properties=species:S:1:pos:R:3 pbc="T T T"
V 0.000 0.000 1.186
V 0.000 0.000 3.549
V 0.000 0.000 5.952
V 0.000 0.000 8.314
V 1.192 2.388 0.000
V 1.201 2.388 4.750
V 2.385 1.206 2.388
V 2.385 1.206 7.113
V 2.385 3.570 2.388
V 2.385 3.570 7.113
V 3.569 2.388 4.750
V 3.578 2.388 0.000
Ga 2.385 0.000 0.000
Ge 0.000 2.388 2.378
Ge 0.000 2.388 7.123
Ge 2.385 0.000 4.750
```

Computed properties:
The energy of formation comes out at -4.68 eV/f.u. The calculated total energy is -0.6017 Ry per atom.

---

17.
Entry from Alexandria via LeMat-Bulk: crystalline Ac6OsPb2 at its relaxed geometry (GGA-PBE).

Cell and atoms, written as extended XYZ:
```
18
Lattice="7.282 0.000 0.000 0.000 9.022 0.000 -6.955 0.000 10.969" Properties=species:S:1:pos:R:3 pbc="T T T"
Ac -2.324 1.501 4.907
Ac -5.801 3.010 10.392
Ac -0.918 6.304 4.922
Ac -4.395 7.228 10.406
Ac 0.915 0.268 2.697
Ac -2.562 4.243 8.181
Ac 2.889 4.778 2.788
Ac -0.588 8.754 8.273
Ac 4.722 1.793 0.563
Ac 1.245 2.718 6.048
Ac 6.128 6.012 0.578
Ac 2.651 7.521 6.062
Os 0.164 0.000 5.485
Os 3.641 4.511 0.000
Pb -3.863 0.997 8.298
Pb -0.386 3.514 2.813
Pb 0.713 5.508 8.156
Pb 4.190 8.024 2.671
```

Computed properties:
The energy of formation comes out at -2.45 eV/f.u. The calculation puts the energy above the most stable polymorph in this dataset at 0.0 meV/atom. The calculated total energy is -0.3736 Ry per atom.

---

18.
Entry from Alexandria via LeMat-Bulk: crystalline Ca2BeNi at its relaxed geometry (GGA-PBE).

Cell and atoms, written as extended XYZ:
```
4
Lattice="3.939 0.000 0.000 0.000 2.164 5.277 0.000 -2.164 5.277" Properties=species:S:1:pos:R:3 pbc="T T T"
Ca 0.000 0.000 0.000
Ca 1.969 0.000 3.005
Be 1.969 0.000 6.323
Ni 0.000 0.000 7.222
```

Computed properties:
The energy of formation comes out at -0.10 eV/f.u. The calculated total energy is -0.2502 Ry per atom.

---

19.
Entry from Alexandria via LeMat-Bulk: crystalline Mg4Np3N8 at its relaxed geometry (GGA-PBE).

Cell and atoms, written as extended XYZ:
```
15
Lattice="3.325 1.920 5.489 -3.325 1.920 5.489 0.000 -3.839 5.489" Properties=species:S:1:pos:R:3 pbc="T T T"
Mg 0.000 0.000 0.000
Mg 0.000 0.000 2.451
Mg 0.000 0.000 8.233
Mg 0.000 0.000 14.014
Np -1.662 -0.960 5.489
Np -1.662 0.960 10.977
Np 0.000 1.920 5.489
N 0.000 -1.864 6.685
N -1.614 0.932 6.685
N 0.000 0.000 4.452
N -1.614 -0.932 9.781
N 1.614 0.932 6.685
N 0.000 0.000 12.014
N 1.614 -0.932 9.781
N 0.000 1.864 9.781
```

Computed properties:
The value obtained for the uncorrected formation energy is -762 meV/atom. The calculated total energy is -0.6039 Ry per atom.

---

20.
Entry from Alexandria via LeMat-Bulk: crystalline CaSm2SiN4 at its relaxed geometry (GGA-PBE).

Cell and atoms, written as extended XYZ:
```
16
Lattice="1.696 -5.996 0.000 1.696 5.996 0.000 0.000 0.000 11.906" Properties=species:S:1:pos:R:3 pbc="T T T"
Ca 1.696 4.750 8.929
Ca 1.696 -4.750 2.976
Sm 1.696 1.572 6.428
Sm 1.696 1.572 11.431
Sm 1.696 -1.572 0.475
Sm 1.696 -1.572 5.478
Si 1.696 3.805 2.976
Si 1.696 -3.805 8.929
N 0.000 0.000 0.000
N 0.000 0.000 5.953
N 1.696 2.820 1.560
N 1.696 2.820 4.393
N 1.696 1.206 8.929
N 1.696 -1.206 2.976
N 1.696 -2.820 7.513
N 1.696 -2.820 10.346
```

Computed properties:
The value obtained for the uncorrected formation energy is -1177 meV/atom. The calculated total energy is -0.5474 Ry per atom.

---

21.
Entry from Alexandria via LeMat-Bulk: crystalline GaCu2Ge at its relaxed geometry (GGA-PBE).

Cell and atoms, written as extended XYZ:
```
4
Lattice="1.459 0.842 7.992 -1.459 0.842 7.992 0.000 -1.684 7.992" Properties=species:S:1:pos:R:3 pbc="T T T"
Ga 0.000 0.000 0.000
Cu 0.000 0.000 6.006
Cu 0.000 0.000 17.972
Ge 0.000 0.000 11.989
```

Computed properties:
The energy of formation comes out at 0.28 eV/f.u. The calculation puts the energy above the most stable polymorph in this dataset at 0.0 meV/atom. The calculated total energy is -0.2858 Ry per atom.

---

22.
Entry from Alexandria via LeMat-Bulk: crystalline CaTl4Rh at its relaxed geometry (GGA-PBE).

Cell and atoms, written as extended XYZ:
```
6
Lattice="0.000 4.342 4.342 4.342 0.000 4.342 4.342 4.342 0.000" Properties=species:S:1:pos:R:3 pbc="T T T"
Ca 0.000 0.000 0.000
Tl 3.263 3.263 3.263
Tl 5.420 5.420 3.263
Tl 5.420 3.263 5.420
Tl 3.263 5.420 5.420
Rh 6.513 6.513 6.513
```

Computed properties:
The energy of formation comes out at 1.81 eV/f.u. The calculated total energy is -0.2083 Ry per atom.